First-principles (GGA-PBE) data for an optimized crystal structure of Sc5Ga2Ru, as listed in the Alexandria database.

Total energy   -102.292 eV for the cell shown

Cell lengths 6.0786, 11.4576, 4.5594 Å; angles 90.00, 90.00, 90.00 degrees
Last column: nearest neighbours and their distance in Å.
Fractional positions:
1 Sc 0.0000 0.0000 0.0000  4 Ga 2.95, 2 Ru 3.04, 6 Sc 3.24-3.30
2 Sc 0.1237 0.2800 0.0000  1 Ru 2.63, 2 Ga 2.85
3 Sc 0.1701 0.5997 0.5000  2 Ru 2.75, 2 Ga 2.85-2.89, 1 Sc 3.08
4 Sc 0.3299 0.0997 0.5000  2 Ru 2.75, 2 Ga 2.85-2.89, 1 Sc 3.08
5 Sc 0.3763 0.7800 0.0000  1 Ru 2.63, 2 Ga 2.85
6 Sc 0.5000 0.5000 0.0000  4 Ga 2.95, 2 Ru 3.04, 6 Sc 3.24-3.30
7 Sc 0.6237 0.2200 0.0000  1 Ru 2.63, 2 Ga 2.85
8 Sc 0.6701 0.9003 0.5000  2 Ru 2.75, 2 Ga 2.85-2.89, 1 Sc 3.08
9 Sc 0.8299 0.4003 0.5000  2 Ru 2.75, 2 Ga 2.85-2.89, 1 Sc 3.08
10 Sc 0.8763 0.7200 0.0000  1 Ru 2.63, 2 Ga 2.85
11 Ga 0.1296 0.8513 0.5000  9 Sc 2.85-3.14
12 Ga 0.3704 0.3513 0.5000  9 Sc 2.85-3.14
13 Ga 0.6296 0.6487 0.5000  9 Sc 2.85-3.14
14 Ga 0.8704 0.1487 0.5000  9 Sc 2.85-3.14
15 Ru 0.0000 0.5000 0.0000  6 Sc 2.63-2.75
16 Ru 0.5000 0.0000 0.0000  6 Sc 2.63-2.75

First-principles (GGA-PBE) data for an optimized crystal structure of VMo14W, as listed in the Alexandria database.

Total energy   -174.343 eV for the cell shown

Cell lengths 5.4638, 5.4638, 8.9418 Å; angles 90.00, 90.00, 109.42 degrees
Last column: nearest neighbours and their distance in Å.
Fractional positions:
1 V 0.0000 0.0000 0.0000  8 Mo 2.72-2.73
2 Mo 0.0000 0.0000 0.5000  8 Mo 2.73-2.74
3 Mo 0.0000 0.5000 0.0000  4 Mo 2.73, 2 W 2.73, 2 V 2.73
4 Mo 0.0000 0.5000 0.5000  8 Mo 2.73-2.75
5 Mo 0.2483 0.2483 0.2482  1 V 2.72, 6 Mo 2.72-2.76, 1 W 2.73
6 Mo 0.2483 0.2483 0.7518  1 V 2.72, 6 Mo 2.72-2.76, 1 W 2.73
7 Mo 0.2494 0.7506 0.2488  8 Mo 2.72-2.75
8 Mo 0.2494 0.7506 0.7512  8 Mo 2.72-2.75
9 Mo 0.5000 0.0000 0.0000  4 Mo 2.73, 2 W 2.73, 2 V 2.73
10 Mo 0.5000 0.0000 0.5000  8 Mo 2.73-2.75
11 Mo 0.5000 0.5000 0.5000  8 Mo 2.73-2.76
12 Mo 0.7506 0.2494 0.2488  8 Mo 2.72-2.75
13 Mo 0.7506 0.2494 0.7512  8 Mo 2.72-2.75
14 Mo 0.7517 0.7517 0.2482  1 V 2.72, 6 Mo 2.72-2.76, 1 W 2.73
15 Mo 0.7517 0.7517 0.7518  1 V 2.72, 6 Mo 2.72-2.76, 1 W 2.73
16 W 0.5000 0.5000 0.0000  8 Mo 2.73

First-principles (GGA-PBE) data for an optimized crystal structure of AlRe2Tc, as listed in the Alexandria database.

Total energy   -77.199 eV for the cell shown

Cell lengths 2.9249, 4.5864, 8.8478 Å; angles 90.00, 90.00, 90.00 degrees
Last column: nearest neighbours and their distance in Å.
Fractional positions:
1 Al 0.0000 0.0000 0.0000  4 Re 2.64, 6 Al 2.72-2.92
2 Al 0.5000 0.5000 0.0000  4 Re 2.64, 6 Al 2.72-2.92
3 Re 0.0000 0.5000 0.2479  2 Al 2.64, 2 Tc 2.67, 6 Re 2.72-2.92
4 Re 0.0000 0.5000 0.7521  2 Al 2.64, 2 Tc 2.67, 6 Re 2.72-2.92
5 Re 0.5000 0.0000 0.2479  2 Al 2.64, 2 Tc 2.67, 6 Re 2.72-2.92
6 Re 0.5000 0.0000 0.7521  2 Al 2.64, 2 Tc 2.67, 6 Re 2.72-2.92
7 Tc 0.0000 0.0000 0.5000  4 Re 2.67, 6 Tc 2.72-2.92
8 Tc 0.5000 0.5000 0.5000  4 Re 2.67, 6 Tc 2.72-2.92

First-principles (GGA-PBE) data for an optimized crystal structure of AcCeSn, as listed in the Alexandria database.

Energy above the lowest structure with this stoichiometry   0.45 eV per formula unit

Cell lengths 4.2663, 4.2663, 10.6678 Å; angles 90.00, 90.00, 90.00 degrees
Last column: nearest neighbours and their distance in Å.
Fractional positions:
1 Ac 0.0000 0.0000 0.0000  1 Ce 3.23, 5 Sn 3.49-3.57
2 Ac 0.5000 0.5000 0.5000  1 Ce 3.23, 5 Sn 3.49-3.57
3 Ce 0.0000 0.0000 0.6968  1 Ac 3.23, 4 Sn 3.36
4 Ce 0.5000 0.5000 0.1968  1 Ac 3.23, 4 Sn 3.36
5 Sn 0.0000 0.0000 0.3349  4 Ce 3.36, 5 Ac 3.49-3.57
6 Sn 0.5000 0.5000 0.8349  4 Ce 3.36, 5 Ac 3.49-3.57

First-principles (GGA-PBE) data for an optimized crystal structure of TiTlRh2I, as listed in the Alexandria database.

Raw formation energy   4.06 eV per formula unit

Cell lengths 4.8771, 4.8771, 4.9990 Å; angles 90.00, 90.00, 90.00 degrees
Last column: nearest neighbours and their distance in Å.
Fractional positions:
1 Ti 0.0000 0.0000 0.0000  2 I 2.50
2 Tl 0.5000 0.5000 0.0000  4 Ti 3.45, 8 Rh 3.49
3 Rh 0.0000 0.5000 0.5000  2 I 2.44
4 Rh 0.5000 0.0000 0.5000  2 I 2.44
5 I 0.0000 0.0000 0.5000  4 Rh 2.44, 2 Ti 2.50

First-principles (GGA-PBE) data for an optimized crystal structure of K3CuGe4, as listed in the Alexandria database.

Total energy   -54.976 eV for the cell shown

Cell lengths 6.6651, 12.1916, 5.9252 Å; angles 90.00, 90.00, 90.00 degrees
Last column: nearest neighbours and their distance in Å.
Fractional positions:
1 K 0.2500 0.0114 0.1650  1 Cu 3.30, 6 Ge 3.47-3.68
2 K 0.2500 0.2500 0.5632  2 Cu 3.42, 4 Ge 3.48-3.65, 2 K 3.75
3 K 0.2500 0.4886 0.1650  1 Cu 3.30, 6 Ge 3.47-3.68
4 K 0.7500 0.5114 0.8350  1 Cu 3.30, 6 Ge 3.47-3.68
5 K 0.7500 0.7500 0.4368  2 Cu 3.42, 4 Ge 3.48-3.65, 2 K 3.75
6 K 0.7500 0.9886 0.8350  1 Cu 3.30, 6 Ge 3.47-3.68
7 Cu 0.2500 0.7500 0.3088  4 Ge 2.49-2.50
8 Cu 0.7500 0.2500 0.6912  4 Ge 2.49-2.50
9 Ge 0.0464 0.7500 0.9538  1 Cu 2.50, 3 Ge 2.58-2.71
10 Ge 0.2500 0.6388 0.6621  1 Cu 2.49, 3 Ge 2.58-2.71
11 Ge 0.2500 0.8612 0.6621  1 Cu 2.49, 3 Ge 2.58-2.71
12 Ge 0.4536 0.7500 0.9538  1 Cu 2.50, 3 Ge 2.58-2.71
13 Ge 0.5464 0.2500 0.0462  1 Cu 2.50, 3 Ge 2.58-2.71
14 Ge 0.7500 0.1388 0.3379  1 Cu 2.49, 3 Ge 2.58-2.71
15 Ge 0.7500 0.3612 0.3379  1 Cu 2.49, 3 Ge 2.58-2.71
16 Ge 0.9536 0.2500 0.0462  1 Cu 2.50, 3 Ge 2.58-2.71

First-principles (GGA-PBE) data for an optimized crystal structure of AcU3Cu4Se12, as listed in the Alexandria database.

Raw formation energy   -14.35 eV per formula unit

Cell lengths 8.8481, 8.8481, 8.8481 Å; angles 106.46, 106.46, 106.46 degrees
Last column: nearest neighbours and their distance in Å.
Fractional positions:
1 Ac 0.0000 0.0000 0.0000  6 Se 3.20
2 U 0.0000 0.5624 0.4376  6 Se 2.71-2.75
3 U 0.4376 0.0000 0.5624  6 Se 2.71-2.75
4 U 0.5624 0.4376 0.0000  6 Se 2.71-2.75
5 Cu 0.0768 0.5000 0.9232  3 Se 2.33-2.42
6 Cu 0.5000 0.5000 0.5000  3 Se 2.28
7 Cu 0.5000 0.9232 0.0768  3 Se 2.33-2.42
8 Cu 0.9232 0.0767 0.5000  3 Se 2.33-2.42
9 Se 0.0223 0.6642 0.7658  1 Cu 2.33
10 Se 0.0943 0.9057 0.5000  1 Cu 2.42
11 Se 0.2342 0.3358 0.9777  1 Cu 2.33
12 Se 0.3358 0.9777 0.2342  1 Cu 2.33
13 Se 0.3388 0.6612 0.5000  1 Cu 2.28
14 Se 0.5000 0.0943 0.9057  1 Cu 2.42
15 Se 0.5000 0.3388 0.6612  1 Cu 2.28
16 Se 0.6612 0.5000 0.3388  1 Cu 2.28
17 Se 0.6642 0.7658 0.0223  1 Cu 2.33
18 Se 0.7658 0.0223 0.6642  1 Cu 2.33
19 Se 0.9057 0.5000 0.0943  1 Cu 2.42
20 Se 0.9777 0.2342 0.3358  1 Cu 2.33

First-principles (GGA-PBE) data for an optimized crystal structure of Ac2PrReN4, as listed in the Alexandria database.

Raw formation energy   -5.39 eV per formula unit

Cell lengths 6.6065, 6.6065, 12.8325 Å; angles 90.00, 90.00, 148.16 degrees
Last column: nearest neighbours and their distance in Å.
Fractional positions:
1 Ac 0.1326 0.8674 0.5405  4 N 2.53-2.73
2 Ac 0.1326 0.8674 0.9595  4 N 2.53-2.73
3 Ac 0.8674 0.1326 0.0405  4 N 2.53-2.73
4 Ac 0.8674 0.1326 0.4595  4 N 2.53-2.73
5 Pr 0.3759 0.6241 0.7500  4 N 2.59
6 Pr 0.6241 0.3759 0.2500  4 N 2.59
7 Re 0.3427 0.6573 0.2500  4 N 1.98-2.03
8 Re 0.6573 0.3427 0.7500  4 N 1.98-2.03
9 N 0.0939 0.9061 0.7500  2 Re 1.98
10 N 0.2236 0.7764 0.1450  1 Re 2.03
11 N 0.2236 0.7764 0.3550  1 Re 2.03
12 N 0.5000 0.5000 0.0000  4 Ac 2.53
13 N 0.5000 0.5000 0.5000  4 Ac 2.53
14 N 0.7764 0.2236 0.6450  1 Re 2.03
15 N 0.7764 0.2236 0.8550  1 Re 2.03
16 N 0.9061 0.0939 0.2500  2 Re 1.98

For the records above, the corresponding M_tot values read 0.00 0.00 0.00 2.15 0.00 0.00 1.01 0.00 Bohr magnetons per cell.